Pu2HgGe2 | PBE | relaxed

Unit cell a=7.300 b=7.300 c=8.687 alpha=90.00 beta=90.00 gamma=90.00
Each line ends with the local moment (μB).
Fractional coordinates of all 20 atoms:
Ge (0.126, 0.374, 0.250)  -0.07
Pu (0.675, 0.835, 0.000)  5.27
Hg (0.500, 0.500, 0.777)  0.01
Ge (0.626, 0.126, 0.750)  -0.07
Ge (0.874, 0.626, 0.750)  -0.07
Hg (0.000, 0.000, 0.723)  0.01
Pu (0.335, 0.175, 0.500)  5.27
Ge (0.874, 0.626, 0.250)  -0.07
Pu (0.835, 0.325, 0.000)  5.27
Pu (0.325, 0.165, 0.000)  5.27
Pu (0.175, 0.665, 0.500)  5.27
Ge (0.374, 0.874, 0.750)  -0.07
Ge (0.374, 0.874, 0.250)  -0.07
Ge (0.126, 0.374, 0.750)  -0.07
Ge (0.626, 0.126, 0.250)  -0.07
Pu (0.665, 0.825, 0.500)  5.27
Hg (0.000, 0.000, 0.277)  0.01
Pu (0.825, 0.335, 0.500)  5.27
Pu (0.165, 0.675, 0.000)  5.27
Hg (0.500, 0.500, 0.223)  0.01

Properties
Raw total energy: -7.98 eV/atom
Formation energy: -336 meV per atom
SG: P4/mnc
Fermi-level density of states: 3.077 states/eV per atom

Pu2HgGe | PBE | relaxed

Unit cell a=4.296 b=4.722 c=4.722 alpha=90.00 beta=90.00 gamma=90.00
Each line ends with the local moment (μB).
Fractional coordinates of all 4 atoms:
Pu (0.000, 0.000, 0.500)  5.48
Hg (0.500, 0.000, 0.000)  0.04
Ge (0.500, 0.500, 0.500)  -0.10
Pu (0.000, 0.500, 0.000)  5.48

Properties
Raw total energy: -8.64 eV/atom
Formation energy: -243 meV per atom
SG: P4/mmm
Fermi-level density of states: 3.425 states/eV per atom

Pu3HgGe | PBE | relaxed

Unit cell a=7.948 b=8.855 c=7.293 alpha=90.00 beta=90.00 gamma=84.16
Each line ends with the local moment (μB).
Fractional coordinates of all 20 atoms:
Pu (0.500, 0.500, 0.229)  5.79
Hg (0.694, 0.896, 0.000)  0.05
Pu (0.000, 0.000, 0.745)  5.61
Pu (0.407, 0.841, 0.275)  5.53
Ge (0.273, 0.120, 0.500)  -0.10
Pu (0.593, 0.159, 0.275)  5.53
Pu (0.500, 0.500, 0.771)  5.79
Ge (0.191, 0.665, 0.000)  -0.13
Pu (0.407, 0.841, 0.725)  5.53
Ge (0.727, 0.880, 0.500)  -0.10
Hg (0.821, 0.357, 0.500)  0.06
Pu (0.000, 0.000, 0.255)  5.61
Pu (0.132, 0.364, 0.770)  5.51
Ge (0.809, 0.335, 0.000)  -0.13
Pu (0.868, 0.636, 0.770)  5.51
Pu (0.868, 0.636, 0.230)  5.51
Pu (0.132, 0.364, 0.230)  5.51
Pu (0.593, 0.159, 0.725)  5.53
Hg (0.306, 0.104, 0.000)  0.05
Hg (0.179, 0.643, 0.500)  0.06

Properties
Raw total energy: -9.69 eV/atom
Formation energy: -102 meV per atom
SG: P2/m
Fermi-level density of states: 3.653 states/eV per atom

SmPuHgGe | PBE | relaxed

Unit cell a=5.238 b=5.238 c=5.238 alpha=60.00 beta=60.00 gamma=60.00
Each line ends with the local moment (μB).
Fractional coordinates of all 4 atoms:
Hg (0.250, 0.250, 0.250)  0.08
Ge (0.750, 0.750, 0.750)  -0.05
Pu (0.500, 0.500, 0.500)  5.58
Sm (0.000, 0.000, 0.000)  0.32

Properties
Raw total energy: -6.38 eV/atom
Formation energy: -390 meV per atom
SG: F-43m
Fermi-level density of states: 2.518 states/eV per atom

PuSnHgGe | PBE | relaxed

Unit cell a=4.330 b=4.421 c=4.845 alpha=90.00 beta=90.00 gamma=90.00
Each line ends with the local moment (μB).
Fractional coordinates of all 4 atoms:
Sn (0.000, 0.500, 0.500)  0.00
Pu (0.500, 0.500, 0.000)  -5.22
Ge (0.000, 0.000, 0.000)  0.02
Hg (0.500, 0.000, 0.500)  -0.01

Properties
Raw total energy: -6.08 eV/atom
Formation energy: -263 meV per atom
SG: Pmmm
Fermi-level density of states: 2.637 states/eV per atom

PuSnHgGe | PBE | relaxed

Unit cell a=5.158 b=5.158 c=5.158 alpha=60.00 beta=60.00 gamma=60.00
Each line ends with the local moment (μB).
Fractional coordinates of all 4 atoms:
Sn (0.750, 0.750, 0.750)  -0.02
Ge (0.500, 0.500, 0.500)  0.04
Hg (0.000, 0.000, 0.000)  -0.01
Pu (0.250, 0.250, 0.250)  5.43

Properties
Raw total energy: -5.91 eV/atom
Formation energy: -99 meV per atom
SG: F-43m
Fermi-level density of states: 2.997 states/eV per atom

In Bohr magnetons per cell, the total magnetization values for the records above are, in order, 44.33; 11.50; 70.66; 6.66; 5.42; 5.70.